VASP calculation (PBE-GGA) on crystalline BeNb6N at its relaxed geometry.

Results
Formation energy from raw total energies: -0.1755 eV/atom

Cell: 4.834 5.260 5.676 Å, 79.16 64.83 84.12°
Fractional positions:
Be: 0.000 0.000 0.000
Nb: 0.064 0.620 0.757
Nb: 0.299 0.168 0.468
Nb: 0.416 0.729 0.158
Nb: 0.584 0.271 0.842
Nb: 0.701 0.832 0.532
Nb: 0.936 0.380 0.243
N: 0.500 0.500 0.500